1.
The following is a DFT calculation (GGA-PBE) of a geometry-optimized Cr2IrCl structure.

Values from the calculation:
* magnetic moment: 0.79 μB/f.u.
* formation energy (no corrections): 5.8 kcal/mol of atoms
* energy above the lowest structure with this stoichiometry: 0.1747 eV/atom
* density: 10.44 g/cm³

Cell lengths 8.132, 8.132, 8.132 Å; angles 19.56, 19.56, 19.56 degrees
Fractional positions:
Cr 0.247 0.247 0.247
Cr 0.753 0.753 0.753
Ir 0.000 0.000 0.000
Cl 0.500 0.500 0.500



2.
The following is a DFT calculation (GGA-PBE) of a geometry-optimized AlIrRh3 structure.

Values from the calculation:
* magnetic moment: 2.14 μB/f.u.
* energy above the lowest structure with this stoichiometry: 0.0000 eV/atom
* density: 10.55 g/cm³
* energy of formation from the pure elements: 0.9201 eV/atom

Cell lengths 4.363, 4.363, 4.363 Å; angles 90.00, 90.00, 90.00 degrees
Fractional positions:
Al 0.000 0.000 0.000
Ir 0.500 0.500 0.500
Rh 0.000 0.000 0.500
Rh 0.000 0.500 0.000
Rh 0.500 0.000 0.000